1.
A relaxed structure of NaCd3Bi3, computed with PBE-GGA.

extended XYZ file:
```
14
Lattice="8.279 0.000 0.000 0.000 8.279 0.000 0.000 0.000 8.279" Properties=species:S:1:pos:R:3 pbc="T T T"
Na 0.000 0.000 0.000
Na 4.139 4.139 4.139
Cd 0.000 2.070 4.139
Cd 0.000 6.209 4.139
Cd 2.070 4.139 0.000
Cd 4.139 0.000 2.070
Cd 4.139 0.000 6.209
Cd 6.209 4.139 0.000
Bi 0.000 4.139 2.070
Bi 0.000 4.139 6.209
Bi 2.070 0.000 4.139
Bi 4.139 2.070 0.000
Bi 4.139 6.209 0.000
Bi 6.209 0.000 4.139
```

Values from the calculation:
- Total DFT energy (no corrections): -2.113 eV per atom
- Space-group type: No. 223
- Calculated volume: 40.53 Å³ per atom
- Energy of formation: 0.91 eV/f.u.

2.
A relaxed structure of SmPa2Pd9, computed with PBE-GGA.

extended XYZ file:
```
12
Lattice="4.166 0.000 0.000 0.000 4.166 0.000 0.000 0.000 12.479" Properties=species:S:1:pos:R:3 pbc="T T T"
Sm 0.000 0.000 0.000
Pa 0.000 0.000 4.143
Pa 0.000 0.000 8.337
Pd 0.000 2.083 2.144
Pd 0.000 2.083 6.240
Pd 0.000 2.083 10.336
Pd 2.083 0.000 2.144
Pd 2.083 0.000 6.240
Pd 2.083 0.000 10.336
Pd 2.083 2.083 0.000
Pd 2.083 2.083 4.181
Pd 2.083 2.083 8.298
```

Values from the calculation:
- Total DFT energy (no corrections): -6.647 eV per atom
- Space-group type: No. 123
- Calculated volume: 18.05 Å³ per atom
- Energy of formation: -9.31 eV/f.u.

3.
A relaxed structure of CaHfCl3, computed with PBE-GGA.

extended XYZ file:
```
5
Lattice="5.332 0.000 0.000 0.000 5.332 0.000 0.000 0.000 5.332" Properties=species:S:1:pos:R:3 pbc="T T T"
Ca 0.000 0.000 0.000
Hf 2.666 2.666 2.666
Cl 0.000 0.000 2.666
Cl 0.000 2.666 0.000
Cl 2.666 0.000 0.000
```

Values from the calculation:
- Total DFT energy (no corrections): -4.189 eV per atom
- Space-group type: No. 221
- Calculated volume: 30.31 Å³ per atom
- Formation energy from raw total energies: -0.6905 eV per atom

4.
A relaxed structure of BaSm2O, computed with PBE-GGA.

extended XYZ file:
```
4
Lattice="1.847 1.066 9.875 -1.847 1.066 9.875 0.000 -2.132 9.875" Properties=species:S:1:pos:R:3 pbc="T T T"
Ba 0.000 0.000 0.000
Sm 0.000 0.000 3.633
Sm 0.000 0.000 25.991
O 0.000 0.000 14.812
```

Values from the calculation:
- Total DFT energy (no corrections): -5.211 eV per atom
- Space-group type: No. 166
- Calculated volume: 29.17 Å³ per atom
- Formation energy from raw total energies: -1.1311 eV per atom

5.
A relaxed structure of YBe2Br, computed with PBE-GGA.

extended XYZ file:
```
4
Lattice="3.391 0.000 0.000 0.000 4.031 0.000 0.000 0.000 6.143" Properties=species:S:1:pos:R:3 pbc="T T T"
Y 0.000 0.000 0.000
Be 1.695 0.000 4.118
Be 1.695 2.016 4.576
Br 1.695 2.016 1.689
```

Values from the calculation:
- Total DFT energy (no corrections): -3.827 eV per atom
- Space-group type: No. 25
- Calculated volume: 20.99 Å³ per atom
- Formation energy from raw total energies: 0.0707 eV per atom

6.
A relaxed structure of AcAl12Pd6, computed with PBE-GGA.

extended XYZ file:
```
19
Lattice="5.701 3.291 2.962 -5.701 3.291 2.962 0.000 -6.583 2.962" Properties=species:S:1:pos:R:3 pbc="T T T"
Ac 0.000 0.000 0.000
Al -2.195 -3.803 4.443
Al -4.391 0.000 4.443
Al -1.455 -0.840 2.878
Al 1.455 -0.840 2.878
Al 0.000 1.680 2.878
Al 2.195 -3.803 4.443
Al -2.195 3.803 4.443
Al 0.000 -1.680 6.008
Al -1.455 0.840 6.008
Al 1.455 0.840 6.008
Al 4.391 0.000 4.443
Al 2.195 3.803 4.443
Pd 0.000 -2.839 3.740
Pd -2.458 1.419 3.740
Pd -2.458 -1.419 5.146
Pd 2.458 1.419 3.740
Pd 2.458 -1.419 5.145
Pd 0.000 2.839 5.145
```

Values from the calculation:
- Total DFT energy (no corrections): -4.859 eV per atom
- Space-group type: No. 166
- Calculated volume: 17.55 Å³ per atom
- Energy of formation: -12.14 eV/f.u.